## ZrPOF2 (GGA-PBE)

Data for crystalline ZrPOF2 at its relaxed geometry.

```
ZrPOF2
1.0
4.641 0.000 0.000
0.000 4.641 0.000
0.000 0.000 3.392
P O Zr F
1 1 1 2
direct
0.000 0.000 0.000 P
0.000 0.000 0.500 O
0.500 0.500 0.500 Zr
0.000 0.500 0.000 F
0.500 0.000 0.000 F
```

## Properties
Energy relative to the elements, uncorrected   -833 meV per atom
Total magnetic moment   1.18 μB/f.u.
Crystal system   tetragonal
DOS at the Fermi energy   1.9 states/eV per cell
E above lowest polymorph   1044 meV/atom